DFT (PBE) results for CdTe2N after structural relaxation.

a = 3.2808 Å, b = 3.2808 Å, c = 28.8512 Å
α = 90.00°, β = 90.00°, γ = 120.00°
Closest atoms and distances in Å follow each position.
Space group R-3m (No. 166, hexagonal axes)
Asymmetric unit:
Cd  0.0000  0.0000  0.0000 [3 per cell]  2 Te 3.17, 6 Cd 3.28
Te  0.0000  0.0000  0.1099 [6 per cell]  3 N 2.50
N  0.0000  0.0000  0.5000 [3 per cell]  6 Te 2.50

Results
As for the volume: 22.411 Å³/atom. For the density of states at the Fermi level, the calculation gives 1.97 states/eV/f.u. For the raw total energy, the calculation gives -3.04 eV/atom. The uncorrected formation energy is 82 kJ/mol of atoms. The calculation puts the energy relative to the lowest polymorph listed for this composition at 267 meV/atom.

DFT (PBE) results for Sm2TmSc7 after structural relaxation.

a = 6.0778 Å, b = 27.2515 Å, c = 3.3129 Å
α = 90.00°, β = 90.00°, γ = 90.00°
Closest atoms and distances in Å follow each position.
Space group Cmmm (No. 65)
Asymmetric unit:
Sm  0.0000  0.2096  0.0000 [4 per cell]  2 Sm 3.31, 8 Sc 3.42-3.55
Tm  0.0000  0.5000  0.5000 [2 per cell]  2 Tm 3.31, 12 Sc 3.46
Sc  0.0000  0.0000  0.0000 [2 per cell]  6 Sc 3.06-3.31
Sc  0.0000  0.3195  0.5000 [4 per cell]  6 Sc 3.18-3.31, 6 Sm 3.42-3.55
Sc  0.2455  0.4029  0.0000 [8 per cell]  7 Sc 2.98-3.31

Results
As for the volume: 27.436 Å³/atom. For the density of states at the Fermi level, the calculation gives 15.65 states/eV/f.u. For the raw total energy, the calculation gives -5.67 eV/atom. The energy relative to the elements comes out at 147 kJ/mol of formula units.

DFT (PBE) results for CsHoZnI6 after structural relaxation.

a = 7.6648 Å, b = 7.6648 Å, c = 8.7906 Å
α = 90.00°, β = 90.00°, γ = 120.00°
Closest atoms and distances in Å follow each position.
Space group P312 (No. 149)
Asymmetric unit:
Cs  0.0000  0.0000  0.0000 [1 per cell]  6 I 3.91
Ho  0.3333  0.6667  0.5000 [1 per cell]  6 I 3.03
Zn  0.6667  0.3333  0.5000 [1 per cell]  6 I 2.90
I  0.3766  0.0132  0.6936 [6 per cell]  1 Zn 2.90, 1 Ho 3.03

Results
As for the volume: 49.697 Å³/atom. For the density of states at the Fermi level, the calculation gives 0.00 states/eV/f.u. For the raw total energy, the calculation gives -2.89 eV/atom. The uncorrected formation energy is -107 kJ/mol of atoms.

DFT (PBE) results for Ho3Sn2Pd7 after structural relaxation.

a = 4.0458 Å, b = 4.0458 Å, c = 29.4342 Å
α = 90.00°, β = 90.00°, γ = 90.00°
Closest atoms and distances in Å follow each position.
Space group I4/mmm (No. 139)
Asymmetric unit:
Ho  0.0000  0.0000  0.0000 [2 per cell]  12 Pd 2.86-2.92
Ho  0.0000  0.0000  0.1828 [4 per cell]  5 Pd 2.79-3.09
Sn  0.0000  0.0000  0.3701 [4 per cell]  5 Pd 2.65-2.72
Pd  0.0000  0.0000  0.2776 [4 per cell]  1 Sn 2.72, 1 Ho 2.79
Pd  0.0000  0.0000  0.5000 [2 per cell]  4 Ho 2.86, 8 Pd 2.92
Pd  0.0000  0.5000  0.0717 [8 per cell]  2 Sn 2.65, 6 Pd 2.86-2.92, 2 Ho 2.92

Results
As for the volume: 20.075 Å³/atom. For the density of states at the Fermi level, the calculation gives 8.30 states/eV/f.u. For the raw total energy, the calculation gives -5.58 eV/atom. The energy relative to the elements comes out at -854 kJ/mol of formula units.

DFT (PBE) results for CaCr3 after structural relaxation.

a = 3.6588 Å, b = 3.6588 Å, c = 21.9318 Å
α = 90.00°, β = 90.00°, γ = 90.00°
Closest atoms and distances in Å follow each position.
Space group I4/mmm (No. 139)
Asymmetric unit:
Ca  0.0000  0.0000  0.1168 [4 per cell]  8 Cr 3.02-3.15
Cr  0.0000  0.0000  0.3124 [4 per cell]  4 Cr 2.28
Cr  0.0000  0.5000  0.0000 [4 per cell]  4 Cr 2.59
Cr  0.0000  0.5000  0.2500 [4 per cell]  4 Cr 2.28

Results
As for the volume: 18.349 Å³/atom. For the density of states at the Fermi level, the calculation gives 3.55 states/eV/f.u. For the raw total energy, the calculation gives -6.83 eV/atom. The energy relative to the elements comes out at 341 kJ/mol of formula units.

DFT (PBE) results for Ca2Al2Zn15 after structural relaxation.

a = 9.0802 Å, b = 9.0802 Å, c = 13.2986 Å
α = 90.00°, β = 90.00°, γ = 120.00°
Closest atoms and distances in Å follow each position.
Space group R-3m (No. 166, hexagonal axes)
Asymmetric unit:
Ca  0.0000  0.0000  0.1618 [6 per cell]  1 Al 3.18, 18 Zn 3.18-3.48
Al  0.0000  0.0000  0.4011 [6 per cell]  1 Al 2.63, 6 Zn 2.77-2.90
Zn  0.0000  0.3012  0.5000 [18 per cell]  8 Zn 2.62-2.77
Zn  0.0000  0.5000  0.0000 [9 per cell]  8 Zn 2.62-2.67, 2 Al 2.77
Zn  0.0098  0.5049  0.6542 [18 per cell]  8 Zn 2.57-2.77

Results
As for the volume: 16.659 Å³/atom. For the density of states at the Fermi level, the calculation gives 3.70 states/eV/f.u. For the raw total energy, the calculation gives -1.79 eV/atom. The energy relative to the elements comes out at -323 kJ/mol of formula units.

DFT (PBE) results for FeRu2Pb after structural relaxation.

a = 3.9423 Å, b = 3.9423 Å, c = 8.0625 Å
α = 90.00°, β = 90.00°, γ = 90.00°
Closest atoms and distances in Å follow each position.
Space group I-4m2 (No. 119)
Asymmetric unit:
Fe  0.0000  0.0000  0.0000 [2 per cell]  8 Ru 2.79-2.82, 4 Pb 2.82
Ru  0.0000  0.0000  0.5000 [2 per cell]  4 Fe 2.79, 4 Ru 2.82, 4 Pb 2.82
Ru  0.0000  0.5000  0.2500 [2 per cell]  4 Pb 2.79, 4 Fe 2.82, 4 Ru 2.82
Pb  0.0000  0.5000  0.7500 [2 per cell]  8 Ru 2.79-2.82, 4 Fe 2.82

Results
As for the volume: 15.663 Å³/atom. For the density of states at the Fermi level, the calculation gives 5.19 states/eV/f.u. For the raw total energy, the calculation gives -7.17 eV/atom. The energy relative to the elements comes out at 197 kJ/mol of formula units.

DFT (PBE) results for HfIrN3 after structural relaxation.

a = 3.8456 Å, b = 3.8456 Å, c = 3.8456 Å
α = 90.00°, β = 90.00°, γ = 90.00°
Closest atoms and distances in Å follow each position.
Space group Pm-3m (No. 221)
Asymmetric unit:
Hf  0.0000  0.0000  0.0000 [1 per cell]  12 N 2.72
Ir  0.5000  0.5000  0.5000 [1 per cell]  6 N 1.92
N  0.0000  0.5000  0.5000 [3 per cell]  2 Ir 1.92

Results
As for the volume: 11.374 Å³/atom. For the density of states at the Fermi level, the calculation gives 3.21 states/eV/f.u. For the raw total energy, the calculation gives -8.11 eV/atom. The uncorrected formation energy is 63 kJ/mol of atoms.

DFT (PBE) results for TlMoRu2 after structural relaxation.

a = 6.3938 Å, b = 6.3938 Å, c = 6.3938 Å
α = 90.00°, β = 90.00°, γ = 90.00°
Closest atoms and distances in Å follow each position.
Space group Fm-3m (No. 225)
Asymmetric unit:
Tl  0.0000  0.0000  0.0000 [4 per cell]  8 Ru 2.77
Mo  0.0000  0.0000  0.5000 [4 per cell]  8 Ru 2.77
Ru  0.2500  0.2500  0.2500 [8 per cell]  4 Tl 2.77, 4 Mo 2.77

Results
As for the volume: 16.336 Å³/atom. For the density of states at the Fermi level, the calculation gives 6.01 states/eV/f.u. For the raw total energy, the calculation gives -7.47 eV/atom. The energy relative to the elements comes out at 180 kJ/mol of formula units. The calculation puts the energy relative to the lowest polymorph listed for this composition at 164 meV/atom.

DFT (PBE) results for LiSmGe after structural relaxation.

a = 6.7197 Å, b = 6.7197 Å, c = 6.7197 Å
α = 90.00°, β = 90.00°, γ = 90.00°
Closest atoms and distances in Å follow each position.
Space group F-43m (No. 216)
Asymmetric unit:
Li  0.0000  0.0000  0.0000 [4 per cell]  4 Ge 2.91
Sm  0.0000  0.0000  0.5000 [4 per cell]  4 Ge 2.91
Ge  0.2500  0.2500  0.7500 [4 per cell]  4 Li 2.91, 4 Sm 2.91

Results
As for the volume: 25.285 Å³/atom. For the raw total energy, the calculation gives -4.31 eV/atom. The energy relative to the elements comes out at -162 kJ/mol of formula units.

DFT (PBE) results for CaTb3Se4 after structural relaxation.

a = 8.2718 Å, b = 11.6254 Å, c = 4.0964 Å
α = 90.00°, β = 90.00°, γ = 90.00°
Closest atoms and distances in Å follow each position.
Space group Cmmm (No. 65)
Asymmetric unit:
Ca  0.0000  0.0000  0.0000 [2 per cell]  6 Se 2.90-2.92
Tb  0.0000  0.5000  0.0000 [2 per cell]  6 Se 2.91
Tb  0.2500  0.2500  0.5000 [4 per cell]  6 Se 2.91
Se  0.0000  0.2496  0.0000 [4 per cell]  1 Ca 2.90, 5 Tb 2.91
Se  0.2491  0.5000  0.5000 [4 per cell]  4 Tb 2.91, 2 Ca 2.92

Results
As for the volume: 24.620 Å³/atom. For the density of states at the Fermi level, the calculation gives 2.81 states/eV/f.u. For the raw total energy, the calculation gives -5.55 eV/atom. The uncorrected formation energy is -176 kJ/mol of atoms. The calculation puts the energy relative to the lowest polymorph listed for this composition at 6 meV/atom.